Here is an optimized crystal structure of FePd2W from Alexandria via LeMat-Bulk. Energies are from PBE.

abc: 4.3474 4.3474 4.3474
angles: 60.00 60.00 60.00
Positions (direct):
Fe: 0.0000 0.0000 0.0000
Pd: 0.2500 0.2500 0.2500
Pd: 0.7500 0.7500 0.7500
W: 0.5000 0.5000 0.5000

Values from the calculation:
- Raw total energy: -0.547 Ry per atom
- Formation energy: 0.51 eV/atom
- DOS at the Fermi energy: 7.39 states/eV/f.u.